This record from Alexandria describes crystalline InSbAu4 at its relaxed geometry. The functional is PBE.

Output
- energy above the lowest structure with this stoichiometry (kJ/mol of atoms) = 0.00
- energy (eV per atom) = -3.3857
- space group = P1 (1)

Cell: 4.546 4.953 6.857 Å, 77.85 85.93 63.15°
Fractional coordinates of all 6 atoms:
1 In 0.000 0.000 0.000
2 Sb 0.581 0.402 0.520
3 Au 0.274 0.996 0.600
4 Au 0.359 0.239 0.180
5 Au 0.674 0.625 0.126
6 Au 0.987 0.577 0.754